This record from the Alexandria database describes crystalline MnNbN2F at its relaxed geometry. The functional is GGA+U.

Geometry as POSCAR:
```
MnNbN2F
1.0
3.922 0.000 0.000
0.000 3.922 0.000
0.000 0.000 3.637
Mn Nb N F
1 1 2 1
direct
0.000 0.000 0.000 Mn
0.500 0.500 0.500 Nb
0.000 0.500 0.000 N
0.500 0.000 0.000 N
0.000 0.000 0.500 F
```

Calculated values
Energy above the most stable polymorph in this dataset ... 3.204 eV per formula unit
Calculated volume ... 55.9 Å³/f.u.